# 1
# HfCuBPd, optimized geometry, DFT GGA-PBE
# Energy relative to the lowest polymorph listed for this composition, eV per atom: 0.000
data_HfCuBPd
_chemical_formula_sum 'Hf4 Cu4 B4 Pd4'
_cell_length_a 5.980
_cell_length_b 5.980
_cell_length_c 5.980
_cell_angle_alpha 90.00
_cell_angle_beta 90.00
_cell_angle_gamma 90.00
_space_group_name_H-M_alt 'F -4 3 m'
_space_group_IT_number 216
_space_group_name_Hall 'F -4 2 3'
loop_
_atom_site_label
_atom_site_type_symbol
_atom_site_fract_x
_atom_site_fract_y
_atom_site_fract_z
_atom_site_occupancy
Hf1 Hf 0.000 0.000 0.000 1
Cu1 Cu 0.250 0.250 0.250 1
B1 B 0.250 0.250 0.750 1
Pd1 Pd 0.000 0.000 0.500 1

***

# 2
# PuAl, optimized geometry, DFT GGA-PBE
# E, eV per atom: -8.496
data_PuAl
_chemical_formula_sum 'Pu4 Al4'
_cell_length_a 6.070
_cell_length_b 6.070
_cell_length_c 6.070
_cell_angle_alpha 90.00
_cell_angle_beta 90.00
_cell_angle_gamma 90.00
_space_group_name_H-M_alt 'F m -3 m'
_space_group_IT_number 225
_space_group_name_Hall '-F 4 2 3'
loop_
_atom_site_label
_atom_site_type_symbol
_atom_site_fract_x
_atom_site_fract_y
_atom_site_fract_z
_atom_site_occupancy
Pu1 Pu 0.000 0.000 0.000 1
Al1 Al 0.000 0.000 0.500 1

***

# 3
# NdUB, optimized geometry, DFT GGA-PBE
# Energy relative to the lowest polymorph listed for this composition, eV per atom: 0.000
data_NdUB
_chemical_formula_sum 'Nd4 U4 B4'
_cell_length_a 6.337
_cell_length_b 6.337
_cell_length_c 6.337
_cell_angle_alpha 90.00
_cell_angle_beta 90.00
_cell_angle_gamma 90.00
_space_group_name_H-M_alt 'F -4 3 m'
_space_group_IT_number 216
_space_group_name_Hall 'F -4 2 3'
loop_
_atom_site_label
_atom_site_type_symbol
_atom_site_fract_x
_atom_site_fract_y
_atom_site_fract_z
_atom_site_occupancy
Nd1 Nd 0.000 0.000 0.000 1
U1 U 0.000 0.000 0.500 1
B1 B 0.250 0.250 0.250 1

***

# 4
# AlTc2Ni, optimized geometry, DFT GGA-PBE
# E, eV per atom: -7.681
data_AlTc2Ni
_chemical_formula_sum 'Al4 Tc8 Ni4'
_cell_length_a 6.005
_cell_length_b 6.005
_cell_length_c 6.005
_cell_angle_alpha 90.00
_cell_angle_beta 90.00
_cell_angle_gamma 90.00
_space_group_name_H-M_alt 'F -4 3 m'
_space_group_IT_number 216
_space_group_name_Hall 'F -4 2 3'
loop_
_atom_site_label
_atom_site_type_symbol
_atom_site_fract_x
_atom_site_fract_y
_atom_site_fract_z
_atom_site_occupancy
Al1 Al 0.000 0.000 0.000 1
Tc1 Tc 0.000 0.000 0.500 1
Tc2 Tc 0.250 0.250 0.750 1
Ni1 Ni 0.250 0.250 0.250 1

***

# 5
# GdEr2Al3AgPt2, optimized geometry, DFT GGA-PBE
# E, eV per atom: -5.316
data_GdEr2Al3AgPt2
_chemical_formula_sum 'Gd2 Er4 Al6 Ag2 Pt4'
_cell_length_a 3.904
_cell_length_b 12.744
_cell_length_c 7.328
_cell_angle_alpha 90.00
_cell_angle_beta 90.00
_cell_angle_gamma 90.00
_space_group_name_H-M_alt 'A m m 2'
_space_group_IT_number 38
_space_group_name_Hall 'A 2 -2'
loop_
_atom_site_label
_atom_site_type_symbol
_atom_site_fract_x
_atom_site_fract_y
_atom_site_fract_z
_atom_site_occupancy
Gd1 Gd 0.000 0.000 0.000 1
Er1 Er 0.000 0.208 0.378 1
Al1 Al 0.500 0.000 0.327 1
Al2 Al 0.500 0.130 0.713 1
Ag1 Ag 0.000 0.000 0.582 1
Pt1 Pt 0.500 0.169 0.086 1

***

# 6
# UZnCd, optimized geometry, DFT GGA-PBE
# Formation energy from the elements, eV/atom: 0.530
data_UZnCd
_chemical_formula_sum 'U4 Zn4 Cd4'
_cell_length_a 6.624
_cell_length_b 6.624
_cell_length_c 6.624
_cell_angle_alpha 90.00
_cell_angle_beta 90.00
_cell_angle_gamma 90.00
_space_group_name_H-M_alt 'F -4 3 m'
_space_group_IT_number 216
_space_group_name_Hall 'F -4 2 3'
loop_
_atom_site_label
_atom_site_type_symbol
_atom_site_fract_x
_atom_site_fract_y
_atom_site_fract_z
_atom_site_occupancy
U1 U 0.000 0.000 0.000 1
Zn1 Zn 0.250 0.250 0.750 1
Cd1 Cd 0.000 0.000 0.500 1

***

# 7
# YBeInPt, optimized geometry, DFT GGA-PBE
# Energy relative to the lowest polymorph listed for this composition, eV per atom: 0.115
data_YBeInPt
_chemical_formula_sum 'Y4 Be4 In4 Pt4'
_cell_length_a 6.621
_cell_length_b 6.621
_cell_length_c 6.621
_cell_angle_alpha 90.00
_cell_angle_beta 90.00
_cell_angle_gamma 90.00
_space_group_name_H-M_alt 'F -4 3 m'
_space_group_IT_number 216
_space_group_name_Hall 'F -4 2 3'
loop_
_atom_site_label
_atom_site_type_symbol
_atom_site_fract_x
_atom_site_fract_y
_atom_site_fract_z
_atom_site_occupancy
Y1 Y 0.000 0.000 0.000 1
Be1 Be 0.250 0.250 0.250 1
In1 In 0.250 0.250 0.750 1
Pt1 Pt 0.000 0.000 0.500 1

***

# 8
# LaNdAs2Pd2O2, optimized geometry, DFT GGA-PBE
# E, eV per atom: -6.775
data_LaNdAs2Pd2O2
_chemical_formula_sum 'La1 Nd1 As2 Pd2 O2'
_cell_length_a 4.222
_cell_length_b 4.222
_cell_length_c 8.209
_cell_angle_alpha 90.00
_cell_angle_beta 90.00
_cell_angle_gamma 90.00
_space_group_name_H-M_alt 'P 4 m m'
_space_group_IT_number 99
_space_group_name_Hall 'P 4 -2'
loop_
_atom_site_label
_atom_site_type_symbol
_atom_site_fract_x
_atom_site_fract_y
_atom_site_fract_z
_atom_site_occupancy
La1 La 0.000 0.000 0.000 1
Nd1 Nd 0.500 0.500 0.726 1
As1 As 0.000 0.000 0.529 1
As2 As 0.500 0.500 0.202 1
Pd1 Pd 0.000 0.500 0.367 1
O1 O 0.000 0.500 0.861 1